Record 1
Here is an optimized crystal structure of K3BaFe from Alexandria. Energies are from GGA-PBE.

Calculated values
Raw total energy = -1.9641 eV/atom
Fermi-level density of states = 2.277 states/eV/atom

Cell lengths 6.615, 6.615, 6.615 Å; angles 90.00, 90.00, 90.00 degrees
Space group Pm-3m (No. 221)
Asymmetric unit:
1 K 0.000 0.000 0.500 [3 per cell]
2 Ba 0.500 0.500 0.500 [1 per cell]
3 Fe 0.000 0.000 0.000 [1 per cell]


Record 2
Here is an optimized crystal structure of Ho6Ge3P2S from Alexandria. Energies are from GGA-PBE.

Calculated values
Fermi-level density of states = 0.420 states/eV/atom
Raw formation energy = -28.86 kcal/mol of atoms

Cell lengths 17.915, 3.929, 8.305 Å; angles 90.00, 107.08, 90.00 degrees
Space group C2/m (No. 12)
Asymmetric unit:
1 Ho 0.003 0.000 0.246 [4 per cell]
2 Ho 0.164 0.500 0.094 [4 per cell]
3 Ho 0.170 0.500 0.575 [4 per cell]
4 Ge 0.000 0.500 0.500 [2 per cell]
5 Ge 0.166 0.000 0.835 [4 per cell]
6 P 0.166 0.000 0.332 [4 per cell]
7 S 0.000 0.500 0.000 [2 per cell]